Record 1
! NdY2Hf GGA-PBE optimized geometry; values from VASP
! **Space-group type**: R-3m, No. 166
! **Offset from the most stable computed form**: 269 meV per atom
&SYSTEM
  ibrav = 0, nat = 4, ntyp = 3
/
ATOMIC_SPECIES
Y 88.91 Y.upf
Nd 144.24 Nd.upf
Hf 178.49 Hf.upf
ATOMIC_POSITIONS angstrom
Y 1.6864 0.9736 9.0445
Y 5.0591 2.9209 3.1080
Nd 3.3727 1.9472 6.0763
Hf 0.0000 0.0000 0.0000
CELL_PARAMETERS angstrom
3.3727 0.0000 0.0000
1.6864 2.9209 0.0000
1.6864 0.9736 12.1525

Record 2
! PmSm4Hg7 GGA-PBE optimized geometry; values from VASP
! **Space-group type**: C2/m, No. 12
! **Raw total energy**: -2.47 eV per atom
&SYSTEM
  ibrav = 0, nat = 12, ntyp = 3
/
ATOMIC_SPECIES
Pm 145.00 Pm.upf
Sm 150.36 Sm.upf
Hg 200.59 Hg.upf
ATOMIC_POSITIONS angstrom
Pm 0.0000 0.0000 0.0000
Sm -2.5405 -5.8725 3.3926
Sm 1.8516 -7.0825 6.2885
Sm -1.4416 -9.5350 7.1304
Sm 0.7528 -3.4200 2.5507
Hg 1.6377 -10.1004 7.3169
Hg -2.3265 -2.8546 2.3642
Hg 2.6412 -4.1346 5.0624
Hg -3.3300 -8.8204 4.6187
Hg -1.2523 -6.5199 6.1484
Hg -0.4793 -2.7492 -0.4218
Hg 0.5634 -6.4351 3.5327
CELL_PARAMETERS angstrom
-0.9585 -5.4984 -0.8436
5.4964 -4.8672 6.5931
-5.2267 -2.5895 3.9315

Record 3
! Nd6Cu5Ag GGA-PBE optimized geometry; values from VASP
! **Space-group type**: P2/m, No. 10
! **Raw total energy**: -4.48 eV per atom
&SYSTEM
  ibrav = 0, nat = 12, ntyp = 3
/
ATOMIC_SPECIES
Nd 144.24 Nd.upf
Ag 107.87 Ag.upf
Cu 63.55 Cu.upf
ATOMIC_POSITIONS angstrom
Nd 3.5466 5.3725 4.4441
Nd 3.5481 1.8235 4.4444
Nd 1.5551 1.8571 7.5464
Nd 2.5177 5.3373 -0.5343
Nd 0.5247 5.3710 2.5677
Nd 0.5262 1.8219 2.5680
Ag 0.0000 0.0000 0.0000
Cu 3.0287 3.5975 1.9629
Cu 1.0464 0.0010 5.0546
Cu -0.0015 3.5960 -0.0003
Cu 3.0264 7.1934 1.9575
Cu 1.0441 3.5969 5.0492
CELL_PARAMETERS angstrom
5.0398 0.0021 -1.0676
-0.0031 7.1919 -0.0007
-0.9639 0.0004 8.0804

Which formula does entry 1 have? NdY2Hf

Number 1 is which compound? NdY2Hf